This record from Alexandria describes a relaxed TcNi2C crystal. The functional is PBE.

Cell: 4.1193 4.1193 6.6076 Å, 71.84 71.84 90.00°
Last column: nearest neighbours and their distance in Å.
Atoms (fractional coordinates):
Ni 0.5094 0.1250 0.2500  2 C 1.89
Ni 0.2406 0.6250 0.2500  2 C 1.89
Ni 0.3750 0.4906 0.7500  2 C 1.89
Ni 0.8750 0.7594 0.7500  2 C 1.89
C 0.5000 0.5000 0.0000  4 Ni 1.89
C 0.2500 0.7500 0.5000  4 Ni 1.89
Tc 0.0000 0.0000 0.0000  4 Ni 2.35
Tc 0.7500 0.2500 0.5000  4 Ni 2.35

Computed properties:
ΔE_f	1038	meV/atom
space-group type	No. 122
total moment	1.0	μB/f.u.
crystal system	tetragonal